A relaxed structure of SrCd6, computed with PBE.

Properties
The value obtained for the excess energy over the best structure of this formula in the dataset is 0.054 eV per formula unit. As for the symmetry: No. 62. As for the total magnetization: 0.0000 μB/atom. The value obtained for the formation energy is -0.196 eV per atom.

Lattice parameters (Å, degrees): 6.1827 9.4013 12.0675 90.00 90.00 90.00
Element x y z (fractional)
Sr  0.7500  0.2428  0.9379
Sr  0.2500  0.7572  0.0621
Sr  0.7500  0.7428  0.5621
Sr  0.2500  0.2572  0.4379
Cd  0.7500  0.5986  0.0231
Cd  0.2500  0.4014  0.9769
Cd  0.7500  0.0986  0.4769
Cd  0.2500  0.9014  0.5231
Cd  0.0154  0.4334  0.1898
Cd  0.5154  0.5666  0.8102
Cd  0.4846  0.9334  0.3102
Cd  0.9846  0.0666  0.6898
Cd  0.9846  0.5666  0.8102
Cd  0.4846  0.4334  0.1898
Cd  0.5154  0.0666  0.6898
Cd  0.0154  0.9334  0.3102
Cd  0.2500  0.1340  0.1452
Cd  0.7500  0.8660  0.8548
Cd  0.2500  0.6340  0.3548
Cd  0.7500  0.3660  0.6452
Cd  0.2500  0.8138  0.7622
Cd  0.7500  0.1862  0.2378
Cd  0.2500  0.3137  0.7378
Cd  0.7500  0.6862  0.2622
Cd  0.2500  0.5678  0.5893
Cd  0.7500  0.4322  0.4107
Cd  0.2500  0.0678  0.9107
Cd  0.7500  0.9322  0.0893